No. 1
Cu3Ag5 GGA-PBE optimized geometry; SG = No. 115; energy relative to the elements = 0.093 eV/atom; excess energy over the best structure of this formula in the dataset = 0.44 eV/f.u.; calculated total energy = -3.067 eV per atom
1.0
3.963 0.000 0.000
0.000 3.963 0.000
0.000 0.000 7.987
Ag Cu
5 3
Cartesian
0.000 1.982 5.915
1.982 1.982 0.000
0.000 0.000 3.994
0.000 0.000 0.000
1.982 0.000 2.072
1.982 0.000 5.931
1.982 1.982 3.994
0.000 1.982 2.056

***

No. 2
CuAg GGA-PBE optimized geometry; SG = No. 156; energy relative to the elements = 0.136 eV/atom; calculated total energy = -3.135 eV per atom
1.0
2.778 0.000 0.000
-1.389 2.406 0.000
0.000 0.000 13.769
Ag Cu
3 3
Cartesian
0.000 1.604 2.203
1.389 0.802 4.716
0.000 0.000 13.464
1.389 0.802 7.313
0.000 1.604 11.232
0.000 0.000 9.265

***

No. 3
Cu3Ag2 GGA-PBE optimized geometry; SG = No. 15; energy relative to the elements = 0.100 eV/atom; excess energy over the best structure of this formula in the dataset = 0.29 eV/f.u.; calculated total energy = -3.260 eV per atom
1.0
2.400 -6.769 0.000
2.400 6.769 0.000
-1.693 0.000 4.464
Cu Ag
6 4
Cartesian
1.977 -3.288 1.116
1.131 3.288 3.348
1.977 1.949 1.116
1.131 -1.949 3.348
1.131 0.675 3.348
1.977 -0.675 1.116
1.131 6.043 3.348
1.977 4.593 1.116
1.131 -4.593 3.348
1.977 -6.043 1.116

***

No. 4
CuAg GGA-PBE optimized geometry; SG = No. 12; energy relative to the elements = 0.098 eV/atom; calculated total energy = -3.173 eV per atom
1.0
-1.385 5.603 4.455
0.050 2.769 6.745
5.138 1.181 -1.759
Cu Ag
5 5
Cartesian
0.000 0.000 0.000
3.526 7.800 7.443
0.711 5.360 6.188
0.277 1.754 1.997
3.093 4.194 3.252
0.388 3.552 4.153
0.933 7.121 8.229
3.415 6.001 5.287
2.569 0.590 -0.880
2.870 2.432 1.211

***

No. 5
Cu2Ag5 GGA-PBE optimized geometry; SG = No. 71; energy relative to the elements = 0.067 eV/atom; excess energy over the best structure of this formula in the dataset = 0.22 eV/f.u.; calculated total energy = -3.012 eV per atom
1.0
8.038 -6.619 -0.824
9.779 -3.077 2.002
-9.908 3.189 0.873
Cu Ag
2 5
Cartesian
5.016 -2.730 0.332
12.801 -6.966 0.846
10.272 -5.590 0.679
2.721 -1.481 0.180
0.000 0.000 0.000
15.096 -8.215 0.998
7.545 -4.106 0.499

***

No. 6
CuAg GGA-PBE optimized geometry; SG = No. 59; energy relative to the elements = 0.084 eV/atom; calculated total energy = -3.186 eV per atom
1.0
2.795 0.000 0.000
0.000 2.832 0.000
0.000 0.000 22.983
Ag Cu
6 6
Cartesian
1.398 0.000 5.426
0.000 1.416 17.556
1.398 0.000 1.083
1.398 0.000 19.732
0.000 1.416 21.900
0.000 1.416 3.251
1.398 1.416 7.672
1.398 1.416 10.724
0.000 0.000 15.311
1.398 1.416 13.787
0.000 0.000 9.195
0.000 0.000 12.259